Record 1
5
Lattice="4.855 0.000 0.000 0.000 4.855 0.000 0.000 0.000 4.855" Properties=species:S:1:pos:R:3 comment="CsCoW3 (GGA-PBE, relaxed)" ef_mev_per_atom=4304 sg=Pm-3m magmom_total_mub_per_fu=0.0 pbc="T T T"
Cs 0.000 0.000 0.000
Co 2.428 2.428 2.428
W 0.000 0.000 2.428
W 0.000 2.428 0.000
W 2.428 0.000 0.000

=====

Record 2
16
Lattice="9.045 0.000 0.000 0.000 9.045 0.000 0.000 0.000 9.045" Properties=species:S:1:pos:R:3 comment="Cs2YCo (GGA-PBE, relaxed)" ef_mev_per_atom=1390 sg=Fm-3m magmom_total_mub_per_fu=0.0 pbc="T T T"
Cs 2.261 2.261 2.261
Cs 2.261 2.261 6.783
Cs 2.261 6.783 2.261
Cs 2.261 6.783 6.783
Cs 6.783 2.261 2.261
Cs 6.783 2.261 6.783
Cs 6.783 6.783 2.261
Cs 6.783 6.783 6.783
Y 0.000 0.000 0.000
Y 0.000 4.522 4.522
Y 4.522 0.000 4.522
Y 4.522 4.522 0.000
Co 0.000 0.000 4.522
Co 0.000 4.522 0.000
Co 4.522 0.000 0.000
Co 4.522 4.522 4.522

=====

Record 3
10
Lattice="7.252 0.000 0.000 0.000 7.252 0.000 0.000 0.000 7.477" Properties=species:S:1:pos:R:3 comment="Cs2Y2Co (GGA-PBE, relaxed)" ef_mev_per_atom=480 sg=P4/mbm magmom_total_mub_per_fu=0.0 pbc="T T T"
Cs 1.402 2.223 0.000
Cs 2.223 5.849 0.000
Cs 5.028 1.402 0.000
Cs 5.849 5.028 0.000
Y 1.410 5.036 3.739
Y 2.216 1.410 3.739
Y 5.036 5.842 3.739
Y 5.842 2.216 3.739
Co 0.000 0.000 3.739
Co 3.626 3.626 3.739

=====

Record 4
5
Lattice="5.489 0.000 0.000 0.000 5.489 0.000 0.000 0.000 5.489" Properties=species:S:1:pos:R:3 comment="CsY3Co (GGA-PBE, relaxed)" ef_mev_per_atom=259 sg=Pm-3m magmom_total_mub_per_fu=0.0 pbc="T T T"
Cs 0.000 0.000 0.000
Y 0.000 2.744 2.744
Y 2.744 0.000 2.744
Y 2.744 2.744 0.000
Co 2.744 2.744 2.744

=====

Record 5
16
Lattice="8.082 0.000 0.000 0.000 8.082 0.000 0.000 0.000 11.470" Properties=species:S:1:pos:R:3 comment="CsY2Co (GGA-PBE, relaxed)" ef_mev_per_atom=534 sg=I-42d magmom_total_mub_per_fu=0.0 pbc="T T T"
Cs 0.000 0.000 0.000
Cs 0.000 4.041 2.867
Cs 4.041 0.000 8.602
Cs 4.041 4.041 5.735
Y 0.011 2.020 7.169
Y 2.020 4.052 10.036
Y 2.020 8.070 4.301
Y 4.030 2.020 1.434
Y 4.052 6.061 1.434
Y 6.061 0.011 4.301
Y 6.061 4.030 10.036
Y 8.070 6.061 7.169
Co 0.000 0.000 5.735
Co 0.000 4.041 8.602
Co 4.041 0.000 2.867
Co 4.041 4.041 0.000

=====

Record 6
10
Lattice="4.396 0.000 0.000 0.000 4.396 0.000 0.000 0.000 20.788" Properties=species:S:1:pos:R:3 comment="Cs2Y2Co (GGA-PBE, relaxed)" ef_mev_per_atom=1208 sg=I4/mmm magmom_total_mub_per_fu=0.4 pbc="T T T"
Cs 0.000 2.198 5.197
Cs 0.000 2.198 15.591
Cs 2.198 0.000 5.197
Cs 2.198 0.000 15.591
Y 0.000 0.000 1.497
Y 0.000 0.000 19.291
Y 2.198 2.198 8.897
Y 2.198 2.198 11.892
Co 0.000 0.000 10.394
Co 2.198 2.198 0.000

=====

Record 7
5
Lattice="6.413 0.000 0.000 0.000 6.413 0.000 0.000 0.000 6.413" Properties=species:S:1:pos:R:3 comment="Cs3YCo (GGA-PBE, relaxed)" ef_mev_per_atom=1269 sg=Pm-3m magmom_total_mub_per_fu=0.0 pbc="T T T"
Cs 0.000 0.000 3.206
Cs 0.000 3.206 0.000
Cs 3.206 0.000 0.000
Y 3.206 3.206 3.206
Co 0.000 0.000 0.000

=====

Record 8
5
Lattice="5.514 0.000 0.000 0.000 5.514 0.000 0.000 0.000 5.514" Properties=species:S:1:pos:R:3 comment="CsY3Co (GGA-PBE, relaxed)" ef_mev_per_atom=1890 sg=Pm-3m magmom_total_mub_per_fu=0.0 pbc="T T T"
Cs 0.000 0.000 0.000
Y 0.000 0.000 2.757
Y 0.000 2.757 0.000
Y 2.757 0.000 0.000
Co 2.757 2.757 2.757

=====

Record 9
5
Lattice="7.332 0.000 0.000 0.000 7.332 0.000 0.000 0.000 7.332" Properties=species:S:1:pos:R:3 comment="CsZn3Co (GGA-PBE, relaxed)" ef_mev_per_atom=1513 sg=Pm-3m magmom_total_mub_per_fu=2.2 pbc="T T T"
Cs 0.000 0.000 0.000
Zn 0.000 0.000 3.666
Zn 0.000 3.666 0.000
Zn 3.666 0.000 0.000
Co 3.666 3.666 3.666

=====

Record 10
5
Lattice="4.900 0.000 0.000 0.000 4.900 0.000 0.000 0.000 4.900" Properties=species:S:1:pos:R:3 comment="CsZn3Co (GGA-PBE, relaxed)" ef_mev_per_atom=231 sg=Pm-3m magmom_total_mub_per_fu=0.0 pbc="T T T"
Cs 0.000 0.000 0.000
Zn 0.000 2.450 2.450
Zn 2.450 0.000 2.450
Zn 2.450 2.450 0.000
Co 2.450 2.450 2.450

=====

Record 11
16
Lattice="6.002 0.000 0.000 0.000 6.002 0.000 0.000 0.000 14.394" Properties=species:S:1:pos:R:3 comment="CsZn2Co (GGA-PBE, relaxed)" ef_mev_per_atom=472 sg=I4_1/amd magmom_total_mub_per_fu=0.9 pbc="T T T"
Cs 0.000 1.500 5.398
Cs 0.000 4.501 8.996
Cs 3.001 1.500 1.799
Cs 3.001 4.501 12.595
Zn 0.000 0.000 0.000
Zn 0.000 3.001 0.000
Zn 1.500 1.500 10.796
Zn 1.500 4.501 3.599
Zn 3.001 0.000 7.197
Zn 3.001 3.001 7.197
Zn 4.501 1.500 10.796
Zn 4.501 4.501 3.599
Co 0.000 1.500 12.595
Co 0.000 4.501 1.799
Co 3.001 1.500 8.996
Co 3.001 4.501 5.398

=====

Record 12
5
Lattice="4.611 0.000 0.000 0.000 4.611 0.000 0.000 0.000 4.611" Properties=species:S:1:pos:R:3 comment="CsZrCo3 (GGA-PBE, relaxed)" ef_mev_per_atom=2136 sg=Pm-3m magmom_total_mub_per_fu=0.0 pbc="T T T"
Cs 0.000 0.000 0.000
Zr 2.305 2.305 2.305
Co 0.000 0.000 2.305
Co 0.000 2.305 0.000
Co 2.305 0.000 0.000